1.
{"formula": "Ta3Ag", "functional": "GGA-PBE", "state": "optimized geometry", "e_tot_ev_per_atom": -9.311, "ef_mev_per_atom": 291, "m_tot_mub_per_cell": 0.00, "dos_ef_per_ev_cell": 12.7, "cell": [[5.891, 0.000, 0.000], [-2.946, 5.102, 0.000], [0.000, 0.000, 9.614]], "species": ["Ag", "Ag", "Ag", "Ag", "Ta", "Ta", "Ta", "Ta", "Ta", "Ta", "Ta", "Ta", "Ta", "Ta", "Ta", "Ta"], "frac_coords": [[0.000, 0.000, 0.000], [0.000, 0.000, 0.500], [0.333, 0.667, 0.250], [0.667, 0.333, 0.750], [0.000, 0.500, 0.000], [0.000, 0.500, 0.500], [0.168, 0.336, 0.750], [0.168, 0.832, 0.750], [0.336, 0.168, 0.250], [0.500, 0.000, 0.000], [0.500, 0.000, 0.500], [0.500, 0.500, 0.000], [0.500, 0.500, 0.500], [0.664, 0.832, 0.750], [0.832, 0.168, 0.250], [0.832, 0.664, 0.250]]}

---

2.
{"formula": "TaAg", "functional": "GGA-PBE", "state": "optimized geometry", "e_tot_ev_per_atom": -6.932, "ef_mev_per_atom": 420, "m_tot_mub_per_cell": 0.00, "dos_ef_per_ev_cell": 2.2, "cell": [[5.684, -0.003, -0.005], [2.649, 5.029, 0.005], [-3.410, -3.768, 2.547]], "species": ["Ag", "Ag", "Ta", "Ta"], "frac_coords": [[0.001, 0.001, 0.000], [0.249, 0.749, 0.500], [0.505, 0.505, 0.000], [0.745, 0.245, 0.500]]}

---

3.
{"formula": "TaAg2", "functional": "GGA-PBE", "state": "optimized geometry", "e_tot_ev_per_atom": -5.220, "ef_mev_per_atom": 632, "m_tot_mub_per_cell": 0.00, "dos_ef_per_ev_cell": 4.5, "cell": [[2.342, -4.057, 0.000], [2.342, 4.057, 0.000], [0.000, 0.000, 5.649]], "species": ["Ta", "Ta", "Ag", "Ag", "Ag", "Ag"], "frac_coords": [[0.333, 0.667, 0.750], [0.667, 0.333, 0.250], [0.000, 0.000, 0.000], [0.000, 0.000, 0.500], [0.333, 0.667, 0.250], [0.667, 0.333, 0.750]]}